No. 1
DFT (PBE) results for a geometry-optimized Li2CuTe2 structure.

The distance to the lowest polymorph of the same formula is 206 meV/atom. The density of states at the Fermi level comes out at 0.14 states/eV/atom. Its crystal system is tetragonal.

Cell lengths 8.220, 8.220, 3.151 Å; angles 90.00, 90.00, 90.00 degrees
Sites, in units of the cell vectors:
Te1 0.179 0.679 0.500
Te2 0.679 0.821 0.500
Te3 0.821 0.321 0.500
Te4 0.321 0.179 0.500
Cu1 0.000 0.000 0.000
Cu2 0.500 0.500 0.000
Li1 0.376 0.876 0.000
Li2 0.876 0.624 0.000
Li3 0.624 0.124 0.000
Li4 0.124 0.376 0.000

=====

No. 2
DFT (PBE) results for a geometry-optimized LiCuTe2 structure.

The density of states at the Fermi level comes out at 0.67 states/eV/atom. Its crystal system is monoclinic.

Cell lengths 5.664, 5.663, 11.448 Å; angles 90.08, 90.00, 90.00 degrees
Sites, in units of the cell vectors:
Li1 0.251 0.000 0.375
Li2 0.749 0.000 0.625
Li3 0.251 0.500 0.125
Li4 0.749 0.500 0.875
Cu1 0.249 0.500 0.625
Cu2 0.751 0.500 0.375
Cu3 0.249 0.000 0.875
Cu4 0.751 0.000 0.125
Te1 0.749 0.000 0.902
Te2 0.251 0.000 0.098
Te3 0.749 0.500 0.598
Te4 0.251 0.500 0.402
Te5 0.751 0.500 0.152
Te6 0.249 0.500 0.848
Te7 0.751 0.000 0.348
Te8 0.249 0.000 0.652

=====

No. 3
DFT (PBE) results for a geometry-optimized LiThCuTe3 structure.

The density of states at the Fermi level comes out at 0.01 states/eV/atom. Its crystal system is monoclinic.

Cell lengths 4.303, 8.795, 10.384 Å; angles 104.72, 90.00, 90.00 degrees
Sites, in units of the cell vectors:
Li1 0.250 0.112 0.329
Li2 0.750 0.888 0.671
Th1 0.250 0.679 0.169
Th2 0.750 0.321 0.831
Cu1 0.250 0.084 0.591
Cu2 0.750 0.916 0.409
Te1 0.750 0.935 0.158
Te2 0.250 0.065 0.842
Te3 0.250 0.766 0.477
Te4 0.750 0.234 0.523
Te5 0.750 0.416 0.150
Te6 0.250 0.584 0.850

=====

No. 4
DFT (PBE) results for a geometry-optimized LiTiCuTe3 structure.

The density of states at the Fermi level comes out at 0.17 states/eV/atom. Its crystal system is monoclinic.

Cell lengths 3.854, 8.036, 9.694 Å; angles 106.59, 90.00, 90.00 degrees
Sites, in units of the cell vectors:
Li1 0.750 0.767 0.715
Li2 0.250 0.233 0.285
Ti1 0.250 0.696 0.178
Ti2 0.750 0.304 0.822
Cu1 0.250 0.079 0.592
Cu2 0.750 0.921 0.408
Te1 0.250 0.729 0.466
Te2 0.750 0.929 0.145
Te3 0.750 0.426 0.134
Te4 0.750 0.271 0.534
Te5 0.250 0.574 0.866
Te6 0.250 0.071 0.855

=====

No. 5
DFT (PBE) results for a geometry-optimized LiTlCuTe2 structure.

The density of states at the Fermi level comes out at 0.44 states/eV/atom. Its crystal system is monoclinic.

Cell lengths 4.355, 7.255, 9.373 Å; angles 79.57, 76.57, 72.53 degrees
Sites, in units of the cell vectors:
Li1 0.366 0.359 0.908
Li2 0.634 0.641 0.092
Tl1 0.823 0.712 0.642
Tl2 0.177 0.288 0.358
Cu1 0.033 0.129 0.805
Cu2 0.967 0.871 0.195
Te1 0.424 0.802 0.350
Te2 0.576 0.198 0.650
Te3 0.844 0.237 0.076
Te4 0.156 0.763 0.924

=====

No. 6
DFT (PBE) results for a geometry-optimized Li4U3CuTe8 structure.

The density of states at the Fermi level comes out at 1.02 states/eV/atom. Its crystal system is monoclinic.

Cell lengths 8.520, 8.593, 8.532 Å; angles 119.81, 119.95, 90.00 degrees
Sites, in units of the cell vectors:
Li1 0.500 0.000 0.000
Li2 0.500 0.000 0.500
Li3 0.000 0.000 0.000
Li4 0.000 0.000 0.500
U1 0.500 0.500 0.000
U2 0.500 0.500 0.500
U3 0.000 0.500 0.500
Cu1 0.000 0.500 0.000
Te1 0.243 0.748 0.005
Te2 0.245 0.750 0.490
Te3 0.245 0.236 0.490
Te4 0.762 0.748 0.005
Te5 0.238 0.252 0.995
Te6 0.755 0.764 0.510
Te7 0.755 0.250 0.510
Te8 0.757 0.252 0.995

=====

No. 7
DFT (PBE) results for a geometry-optimized Li3U2CuTe6 structure.

The density of states at the Fermi level comes out at 1.19 states/eV/atom. Its crystal system is monoclinic.

Cell lengths 7.364, 7.364, 7.393 Å; angles 99.49, 99.49, 120.11 degrees
Sites, in units of the cell vectors:
Li1 0.173 0.827 0.500
Li2 0.827 0.173 0.500
Li3 0.500 0.500 0.500
U1 0.334 0.666 0.000
U2 0.666 0.334 0.000
Cu1 0.000 0.000 0.000
Te1 0.917 0.596 0.750
Te2 0.763 0.763 0.250
Te3 0.083 0.404 0.250
Te4 0.596 0.917 0.750
Te5 0.237 0.237 0.750
Te6 0.404 0.083 0.250

=====

No. 8
DFT (PBE) results for a geometry-optimized LiUCu2Te4 structure.

The density of states at the Fermi level comes out at 1.26 states/eV/atom. Its crystal system is orthorhombic.

Cell lengths 6.987, 6.355, 6.355 Å; angles 69.71, 56.65, 56.65 degrees
Sites, in units of the cell vectors:
Li1 0.000 0.000 0.000
U1 0.500 0.500 0.500
Cu1 0.164 0.336 0.336
Cu2 0.836 0.664 0.664
Te1 0.408 0.036 0.602
Te2 0.046 0.964 0.398
Te3 0.954 0.602 0.036
Te4 0.592 0.398 0.964

=====

No. 9
DFT (PBE) results for a geometry-optimized LiVCuTe3 structure.

The density of states at the Fermi level comes out at 0.67 states/eV/atom. Its crystal system is monoclinic.

Cell lengths 3.792, 7.955, 9.619 Å; angles 105.91, 90.00, 90.00 degrees
Sites, in units of the cell vectors:
Li1 0.750 0.778 0.717
Li2 0.250 0.222 0.283
V1 0.250 0.691 0.176
V2 0.750 0.309 0.824
Cu1 0.250 0.073 0.594
Cu2 0.750 0.927 0.406
Te1 0.250 0.728 0.466
Te2 0.750 0.920 0.139
Te3 0.750 0.426 0.131
Te4 0.750 0.272 0.534
Te5 0.250 0.574 0.869
Te6 0.250 0.080 0.861

=====

No. 10
DFT (PBE) results for a geometry-optimized LiY2CuTe structure.

The density of states at the Fermi level comes out at 0.57 states/eV/atom. Its crystal system is tetragonal.

Cell lengths 5.714, 4.652, 5.714 Å; angles 90.00, 90.00, 90.00 degrees
Sites, in units of the cell vectors:
Y1 0.000 0.000 0.500
Y2 0.500 0.000 0.000
Te1 0.000 0.000 0.000
Cu1 0.500 0.500 0.500
Li1 0.000 0.500 0.000

=====

No. 11
DFT (PBE) results for a geometry-optimized Li4Zr3CuTe8 structure.

The density of states at the Fermi level comes out at 0.34 states/eV/atom. Its crystal system is trigonal.

Cell lengths 8.190, 8.443, 8.193 Å; angles 119.01, 119.99, 90.00 degrees
Sites, in units of the cell vectors:
Li1 0.500 0.000 0.000
Li2 0.500 0.000 0.500
Li3 0.000 0.000 0.000
Li4 0.000 0.000 0.500
Zr1 0.500 0.500 0.000
Zr2 0.500 0.500 0.500
Zr3 0.000 0.500 0.500
Cu1 0.000 0.500 0.000
Te1 0.243 0.741 0.997
Te2 0.243 0.741 0.487
Te3 0.250 0.249 0.499
Te4 0.754 0.741 0.997
Te5 0.246 0.259 0.003
Te6 0.750 0.751 0.501
Te7 0.757 0.259 0.513
Te8 0.757 0.259 0.003

=====

No. 12
DFT (PBE) results for a geometry-optimized Li2ZrCu2Te4 structure.

The density of states at the Fermi level comes out at 0.19 states/eV/atom. Its crystal system is monoclinic.

Cell lengths 4.027, 8.449, 7.789 Å; angles 116.51, 104.98, 90.00 degrees
Sites, in units of the cell vectors:
Li1 0.129 0.733 0.259
Li2 0.871 0.267 0.741
Zr1 0.000 0.000 0.000
Cu1 0.681 0.988 0.361
Cu2 0.319 0.012 0.639
Te1 0.221 0.214 0.441
Te2 0.779 0.786 0.559
Te3 0.493 0.740 0.986
Te4 0.507 0.260 0.014

=====

Number 1: ΔE_f (raw) -0.236 eV/atom, volume 212.90 Å³/cell. Number 2: ΔE_f (raw) -0.298 eV/atom, volume 367.19 Å³/cell. Number 3: ΔE_f (raw) -0.854 eV/atom, volume 380.07 Å³/cell. Number 4: ΔE_f (raw) -0.596 eV/atom, volume 287.76 Å³/cell. Number 5: ΔE_f (raw) -0.364 eV/atom, volume 272.77 Å³/cell. Number 6: ΔE_f (raw) -0.667 eV/atom, volume 443.31 Å³/cell. Number 7: ΔE_f (raw) -0.638 eV/atom, volume 327.37 Å³/cell. Number 8: ΔE_f (raw) -0.296 eV/atom, volume 196.50 Å³/cell. Number 9: ΔE_f (raw) -0.385 eV/atom, volume 279.06 Å³/cell. Number 10: ΔE_f (raw) 0.079 eV/atom, volume 151.90 Å³/cell. Number 11: ΔE_f (raw) -0.781 eV/atom, volume 406.55 Å³/cell. Number 12: ΔE_f (raw) -0.636 eV/atom, volume 227.07 Å³/cell.